The following is a DFT calculation (GGA-PBE) of crystalline MgCu3 at its relaxed geometry.

Calculated values
Calculated density   6.93 g cm⁻³
Raw total energy   -3.23 eV per atom

Unit cell a=4.566 b=4.566 c=4.566 alpha=131.99 beta=131.99 gamma=70.24
Positions (direct):
Cu  0.000  0.000  0.000
Cu  0.750  0.250  0.500
Cu  0.250  0.750  0.500
Mg  0.500  0.500  0.000